[1]
Density functional theory data (PBE) for a geometry-optimized Ti3AuO structure.

Unit cell a=4.873 b=5.645 c=5.348 alpha=90.00 beta=92.46 gamma=90.00
Atoms (fractional coordinates):
Ti1 0.245 0.005 0.363
Ti2 0.245 0.495 0.363
Ti3 0.248 0.250 0.882
Ti4 0.752 0.750 0.118
Ti5 0.755 0.505 0.637
Ti6 0.755 0.995 0.637
Au1 0.223 0.750 0.869
Au2 0.777 0.250 0.131
O1 0.463 0.250 0.570
O2 0.537 0.750 0.430

Values from the calculation:
**Symmetry**: P2_1/m, No. 11
**ΔE_f (raw)**: -1.192 eV/atom
**Theoretical density**: 8.06 Mg/m³

=====

[2]
Density functional theory data (PBE) for a geometry-optimized Ti3AuO structure.

Unit cell a=7.240 b=7.240 c=7.240 alpha=42.71 beta=42.71 gamma=42.71
Atoms (fractional coordinates):
Ti1 0.105 0.450 0.774
Ti2 0.226 0.895 0.550
Ti3 0.450 0.774 0.105
Ti4 0.550 0.226 0.895
Ti5 0.774 0.105 0.450
Ti6 0.895 0.550 0.226
Au1 0.337 0.337 0.337
Au2 0.663 0.663 0.663
O1 0.163 0.163 0.163
O2 0.837 0.837 0.837

Values from the calculation:
**Symmetry**: R-3, No. 148
**ΔE_f (raw)**: -1.009 eV/atom
**Theoretical density**: 7.48 Mg/m³

=====

[3]
Density functional theory data (PBE) for a geometry-optimized Ti3AuO structure.

Unit cell a=5.273 b=5.723 c=5.921 alpha=61.51 beta=70.42 gamma=89.71
Atoms (fractional coordinates):
Ti1 0.000 0.000 0.000
Ti2 0.003 0.492 0.992
Ti3 0.074 0.491 0.493
Ti4 0.515 0.224 0.034
Ti5 0.553 0.728 0.508
Ti6 0.560 0.245 0.502
Au1 0.046 0.987 0.508
Au2 0.494 0.751 0.982
O1 0.284 0.357 0.763
O2 0.835 0.600 0.283

Values from the calculation:
**Symmetry**: P1, No. 1
**ΔE_f (raw)**: -1.218 eV/atom
**Theoretical density**: 8.15 Mg/m³

=====

[4]
Density functional theory data (PBE) for a geometry-optimized Ti3AuO structure.

Unit cell a=7.116 b=5.430 c=9.885 alpha=90.00 beta=128.85 gamma=90.00
Atoms (fractional coordinates):
Ti1 0.066 0.077 0.286
Ti2 0.066 0.423 0.786
Ti3 0.318 0.151 0.667
Ti4 0.318 0.349 0.167
Ti5 0.421 0.742 0.455
Ti6 0.421 0.758 0.955
Ti7 0.579 0.242 0.045
Ti8 0.579 0.258 0.545
Ti9 0.682 0.651 0.833
Ti10 0.682 0.849 0.333
Ti11 0.934 0.577 0.214
Ti12 0.934 0.923 0.714
Au1 0.170 0.686 0.585
Au2 0.170 0.814 0.085
Au3 0.830 0.186 0.915
Au4 0.830 0.314 0.415
O1 0.255 0.103 0.837
O2 0.255 0.397 0.337
O3 0.745 0.603 0.663
O4 0.745 0.897 0.163

Values from the calculation:
**Symmetry**: P2_1/c, No. 14
**ΔE_f (raw)**: -1.124 eV/atom
**Theoretical density**: 7.96 Mg/m³

=====

[5]
Density functional theory data (PBE) for a geometry-optimized Ti6AuO structure.

Unit cell a=4.737 b=5.295 c=5.418 alpha=98.11 beta=112.53 gamma=90.99
Atoms (fractional coordinates):
Ti1 0.061 0.302 0.155
Ti2 0.200 0.833 0.439
Ti3 0.413 0.400 0.737
Ti4 0.587 0.600 0.263
Ti5 0.800 0.167 0.561
Ti6 0.939 0.698 0.845
Au1 0.500 0.000 0.000
O1 0.000 0.500 0.500

Values from the calculation:
**Symmetry**: P-1, No. 2
**ΔE_f (raw)**: -0.761 eV/atom
**Theoretical density**: 6.70 Mg/m³

=====

[6]
Density functional theory data (PBE) for a geometry-optimized Ti2AuO structure.

Unit cell a=6.828 b=6.828 c=6.828 alpha=26.38 beta=26.38 gamma=26.38
Atoms (fractional coordinates):
Ti1 0.222 0.222 0.222
Ti2 0.778 0.778 0.778
Au1 0.000 0.000 0.000
O1 0.500 0.500 0.500

Values from the calculation:
**Symmetry**: R-3m, No. 166
**ΔE_f (raw)**: -1.366 eV/atom
**Theoretical density**: 9.25 Mg/m³